Here is Pr3Sm2Hg after structural relaxation from Alexandria via LeMat-Bulk. Energies are from PBE.

Results
Energy relative to the lowest polymorph listed for this composition ... 0.0000 eV/atom

a b c (Å): 5.733 18.156 3.818
angles (deg): 90.00 90.00 90.00
Space group Cmmm (No. 65)
Inequivalent atoms, fractional coordinates:
Pr 0.000 0.000 0.000 (multiplicity 2)
Pr 0.000 0.185 0.500 (multiplicity 4)
Sm 0.000 0.359 0.000 (multiplicity 4)
Hg 0.000 0.500 0.500 (multiplicity 2)